Here is ReAg3F7 after structural relaxation from the Alexandria database. Energies are from PBE-GGA.

Output
* D(E_F): 0.1891 states/eV/atom
* formation energy without anion corrections: -137.3 kJ/mol of atoms

Cell lengths 5.7165, 5.7165, 6.1041 Å; angles 110.01, 110.01, 86.54 degrees
Positions (direct):
1 Re 0.0000 0.0000 0.0000
2 Ag 0.3013 0.6573 0.5336
3 Ag 0.5712 0.5712 0.2135
4 Ag 0.6573 0.3013 0.5336
5 F 0.1772 0.7001 0.8839
6 F 0.2305 0.2305 0.9905
7 F 0.2663 0.9684 0.2961
8 F 0.7001 0.1772 0.8839
9 F 0.7606 0.7606 0.9966
10 F 0.8948 0.8948 0.6301
11 F 0.9684 0.2663 0.2961

---

Here is ReC2 after structural relaxation from the Alexandria database. Energies are from PBE-GGA.

Output
* D(E_F): 0.6202 states/eV/atom
* ΔE to the lowest computed polymorph: 1113 meV per atom

Cell lengths 2.9786, 2.9786, 4.0070 Å; angles 90.00, 90.00, 90.00 degrees
Positions (direct):
1 Re 0.0000 0.0000 0.0000
2 C 0.0000 0.0000 0.5000
3 C 0.5000 0.5000 0.0000

---

Please write out number 1 again, unchanged.
Here is ReAg3F7 after structural relaxation from the Alexandria database. Energies are from PBE-GGA.

Output
* D(E_F): 0.1891 states/eV/atom
* formation energy without anion corrections: -137.3 kJ/mol of atoms

Cell lengths 5.7165, 5.7165, 6.1041 Å; angles 110.01, 110.01, 86.54 degrees
Positions (direct):
1 Re 0.0000 0.0000 0.0000
2 Ag 0.3013 0.6573 0.5336
3 Ag 0.5712 0.5712 0.2135
4 Ag 0.6573 0.3013 0.5336
5 F 0.1772 0.7001 0.8839
6 F 0.2305 0.2305 0.9905
7 F 0.2663 0.9684 0.2961
8 F 0.7001 0.1772 0.8839
9 F 0.7606 0.7606 0.9966
10 F 0.8948 0.8948 0.6301
11 F 0.9684 0.2663 0.2961